Here is a relaxed K3Tl3CrO8 crystal from Alexandria. Energies are from PBE+U.

Values from the calculation:
- Energy: -148.87 eV for the cell shown
- Total moment: 1.96 μB per formula unit
- Crystal system: monoclinic

Unit cell a=11.645 b=6.755 c=7.380 alpha=90.00 beta=121.76 gamma=90.00
Space group C2/m (No. 12)
Inequivalent atoms, fractional coordinates:
K 0.000 0.000 0.000 x2
K 0.250 0.250 0.000 x4
Tl 0.000 0.500 0.500 x2
Tl 0.250 0.250 0.500 x4
Cr 0.000 0.000 0.500 x2
O 0.015 0.219 0.325 x8
O 0.196 0.000 0.674 x4
O 0.234 0.500 0.693 x4